[1]
Compound: LaPmAlAg
Source: Alexandria
Functional: PBE
Structure: optimized geometry

Properties
ΔE to the lowest computed polymorph: 34 meV per atom
Formation enthalpy at 0 K: -28 kJ/mol of atoms

Lattice parameters (Å, degrees): 7.576 7.576 7.576 90.00 90.00 90.00
Space group F-43m (No. 216)
Asymmetric unit:
La (0.000, 0.000, 0.000) [4 per cell]
Pm (0.000, 0.000, 0.500) [4 per cell]
Al (0.250, 0.250, 0.250) [4 per cell]
Ag (0.250, 0.250, 0.750) [4 per cell]

[2]
Compound: Fe2SiMo
Source: Alexandria
Functional: PBE
Structure: optimized geometry

Properties
E_form (uncorrected): -0.25 eV/atom

Lattice parameters (Å, degrees): 2.747 2.747 6.243 90.00 90.00 90.00
Space group P4/mmm (No. 123)
Asymmetric unit:
Fe (0.000, 0.000, 0.216) [2 per cell]
Si (0.500, 0.500, 0.000) [1 per cell]
Mo (0.500, 0.500, 0.500) [1 per cell]

[3]
Compound: Nd3HoEr3
Source: Alexandria
Functional: PBE
Structure: optimized geometry

Properties
ΔE to the lowest computed polymorph: 151 meV per atom
Formation enthalpy at 0 K: 17 kJ/mol of atoms

Lattice parameters (Å, degrees): 6.2045 6.2045 43.1814 90.00 90.00 120.00
Space group R-3 (No. 148, hexagonal axes)
Asymmetric unit:
Nd (0.0002, 0.3309, 0.1306) [18 per cell]
Ho (0.0000, 0.0000, 0.3333) [6 per cell]
Er (0.0000, 0.3332, 0.2690) [18 per cell]

[4]
Compound: Ga2Rh3
Source: Alexandria
Functional: PBE
Structure: optimized geometry

Properties
Formation enthalpy at 0 K: -40 kJ/mol of atoms

Lattice parameters (Å, degrees): 7.356 4.260 5.165 90.00 118.01 90.00
Space group C2/m (No. 12)
Asymmetric unit:
Ga (0.097, 0.000, 0.290) [4 per cell]
Rh (0.000, 0.500, 0.500) [2 per cell]
Rh (0.215, 0.500, 0.146) [4 per cell]

[5]
Compound: MgTaRh4
Source: Alexandria
Functional: PBE
Structure: optimized geometry

Properties
ΔE to the lowest computed polymorph: 64 meV per atom
Formation enthalpy at 0 K: -24 kJ/mol of atoms

Lattice parameters (Å, degrees): 7.245 7.245 7.245 90.00 90.00 90.00
Space group F-43m (No. 216)
Asymmetric unit:
Mg (0.000, 0.000, 0.000) [4 per cell]
Ta (0.250, 0.250, 0.750) [4 per cell]
Rh (0.126, 0.126, 0.374) [16 per cell]

[6]
Compound: Dy3PbN2
Source: Alexandria
Functional: PBE
Structure: optimized geometry

Properties
E_form (uncorrected): -1.21 eV/atom

Lattice parameters (Å, degrees): 4.618 4.618 11.547 90.00 90.00 90.00
Space group I4/mmm (No. 139)
Asymmetric unit:
Dy (0.000, 0.000, 0.000) [2 per cell]
Dy (0.000, 0.500, 0.250) [4 per cell]
Pb (0.000, 0.000, 0.500) [2 per cell]
N (0.000, 0.000, 0.201) [4 per cell]

[7]
Compound: ScFeCl
Source: Alexandria
Functional: PBE
Structure: optimized geometry

Properties
E_form (uncorrected): -0.35 eV/atom

Lattice parameters (Å, degrees): 3.3085 3.3085 6.4764 90.00 90.00 120.00
Space group P3m1 (No. 156)
Asymmetric unit:
Sc (0.0000, 0.0000, 0.0000) [1 per cell]
Fe (0.6667, 0.3333, 0.7104) [1 per cell]
Cl (0.3333, 0.6667, 0.2734) [1 per cell]

[8]
Compound: SrBe2Cl
Source: Alexandria
Functional: PBE
Structure: optimized geometry

Properties
ΔE to the lowest computed polymorph: 202 meV per atom
E_form (uncorrected): 0.04 eV/atom

Lattice parameters (Å, degrees): 4.239 6.205 7.175 90.00 90.00 90.00
Space group Imm2 (No. 44)
Asymmetric unit:
Sr (0.000, 0.000, 0.000) [2 per cell]
Be (0.000, 0.000, 0.599) [2 per cell]
Be (0.000, 0.500, 0.105) [2 per cell]
Cl (0.000, 0.500, 0.791) [2 per cell]

[9]
Compound: ZrAlGa2
Source: Alexandria
Functional: PBE
Structure: optimized geometry

Properties
Formation enthalpy at 0 K: -48 kJ/mol of atoms

Lattice parameters (Å, degrees): 3.917 3.917 9.182 90.00 90.00 90.00
Space group I-4m2 (No. 119)
Asymmetric unit:
Zr (0.000, 0.000, 0.000) [2 per cell]
Al (0.000, 0.500, 0.250) [2 per cell]
Ga (0.000, 0.000, 0.500) [2 per cell]
Ga (0.000, 0.500, 0.750) [2 per cell]

[10]
Compound: CuIr2Cl
Source: Alexandria
Functional: PBE
Structure: optimized geometry

Properties
ΔE to the lowest computed polymorph: 530 meV per atom
E_form (uncorrected): 0.81 eV/atom

Lattice parameters (Å, degrees): 2.919 2.919 6.954 90.00 90.00 90.00
Space group P4/mmm (No. 123)
Asymmetric unit:
Cu (0.000, 0.000, 0.000) [1 per cell]
Ir (0.500, 0.500, 0.219) [2 per cell]
Cl (0.000, 0.000, 0.500) [1 per cell]

[11]
Compound: LaPmPb4
Source: Alexandria
Functional: PBE
Structure: optimized geometry

Properties
ΔE to the lowest computed polymorph: 18 meV per atom
Formation enthalpy at 0 K: -22 kJ/mol of atoms

Lattice parameters (Å, degrees): 9.169 9.169 9.169 90.00 90.00 90.00
Space group F-43m (No. 216)
Asymmetric unit:
La (0.000, 0.000, 0.000) [4 per cell]
Pm (0.250, 0.250, 0.250) [4 per cell]
Pb (0.125, 0.125, 0.625) [16 per cell]

[12]
Compound: KAl2O3
Source: Alexandria
Functional: PBE
Structure: optimized geometry

Properties
E_form (uncorrected): -2.05 eV/atom

Lattice parameters (Å, degrees): 8.840 10.795 5.288 90.00 90.00 90.00
Space group Cmcm (No. 63)
Asymmetric unit:
K (0.000, 0.137, 0.250) [4 per cell]
Al (0.157, 0.500, 0.000) [8 per cell]
O (0.000, 0.452, 0.750) [4 per cell]
O (0.229, 0.052, 0.750) [8 per cell]

[13]
Compound: NpUPaTc
Source: Alexandria
Functional: PBE
Structure: optimized geometry

Properties
Formation enthalpy at 0 K: 14 kJ/mol of atoms

Lattice parameters (Å, degrees): 6.734 6.734 6.734 90.00 90.00 90.00
Space group F-43m (No. 216)
Asymmetric unit:
Np (0.000, 0.000, 0.000) [4 per cell]
U (0.250, 0.250, 0.250) [4 per cell]
Pa (0.250, 0.250, 0.750) [4 per cell]
Tc (0.000, 0.000, 0.500) [4 per cell]

[14]
Compound: HgHRh2
Source: Alexandria
Functional: PBE
Structure: optimized geometry

Properties
ΔE to the lowest computed polymorph: 1 meV per atom

Lattice parameters (Å, degrees): 2.9202 2.9202 20.8141 90.00 90.00 120.00
Space group R3m (No. 160, hexagonal axes)
Asymmetric unit:
Hg (0.0000, 0.0000, 0.0000) [3 per cell]
H (0.0000, 0.0000, 0.8335) [3 per cell]
Rh (0.0000, 0.0000, 0.2209) [3 per cell]
Rh (0.0000, 0.0000, 0.4464) [3 per cell]

[15]
Compound: CdAg2Pd
Source: Alexandria
Functional: PBE
Structure: optimized geometry

Properties
Formation enthalpy at 0 K: -14 kJ/mol of atoms

Lattice parameters (Å, degrees): 5.789 4.792 5.873 90.00 119.46 90.00
Space group P2_1/m (No. 11)
Asymmetric unit:
Cd (0.174, 0.250, 0.348) [2 per cell]
Ag (0.175, 0.250, 0.843) [2 per cell]
Ag (0.332, 0.750, 0.157) [2 per cell]
Pd (0.328, 0.750, 0.657) [2 per cell]

[16]
Compound: ErThTi4
Source: Alexandria
Functional: PBE
Structure: optimized geometry

Properties
Formation enthalpy at 0 K: 20 kJ/mol of atoms

Lattice parameters (Å, degrees): 8.069 8.069 8.069 90.00 90.00 90.00
Space group F-43m (No. 216)
Asymmetric unit:
Er (0.000, 0.000, 0.000) [4 per cell]
Th (0.250, 0.250, 0.250) [4 per cell]
Ti (0.124, 0.124, 0.624) [16 per cell]

[17]
Compound: TmCuNiAu
Source: Alexandria
Functional: PBE
Structure: optimized geometry

Properties
Formation enthalpy at 0 K: -36 kJ/mol of atoms

Lattice parameters (Å, degrees): 6.401 6.401 6.401 90.00 90.00 90.00
Space group F-43m (No. 216)
Asymmetric unit:
Tm (0.000, 0.000, 0.000) [4 per cell]
Cu (0.250, 0.250, 0.750) [4 per cell]
Ni (0.250, 0.250, 0.250) [4 per cell]
Au (0.000, 0.000, 0.500) [4 per cell]

[18]
Compound: CsNF
Source: Alexandria
Functional: PBE
Structure: optimized geometry

Properties
ΔE to the lowest computed polymorph: 1691 meV per atom
E_form (uncorrected): -0.05 eV/atom

Lattice parameters (Å, degrees): 4.275 4.734 7.633 90.00 90.00 90.00
Space group Imm2 (No. 44)
Asymmetric unit:
Cs (0.000, 0.000, 0.000) [2 per cell]
N (0.000, 0.000, 0.606) [2 per cell]
F (0.000, 0.000, 0.410) [2 per cell]

[19]
Compound: Mo2PI
Source: Alexandria
Functional: PBE
Structure: optimized geometry

Properties
ΔE to the lowest computed polymorph: 0 meV per atom
E_form (uncorrected): 0.52 eV/atom

Lattice parameters (Å, degrees): 6.390 6.390 6.390 90.00 90.00 90.00
Space group Fm-3m (No. 225)
Asymmetric unit:
Mo (0.250, 0.250, 0.250) [8 per cell]
P (0.000, 0.000, 0.000) [4 per cell]
I (0.000, 0.000, 0.500) [4 per cell]

[20]
Compound: B3SbI
Source: Alexandria
Functional: PBE
Structure: optimized geometry

Properties
ΔE to the lowest computed polymorph: 0 meV per atom
E_form (uncorrected): 2.03 eV/atom

Lattice parameters (Å, degrees): 4.637 4.637 4.637 90.00 90.00 90.00
Space group Pm-3m (No. 221)
Asymmetric unit:
B (0.000, 0.000, 0.500) [3 per cell]
Sb (0.000, 0.000, 0.000) [1 per cell]
I (0.500, 0.500, 0.500) [1 per cell]

| no. | raw total energy (eV per atom) | total magnetic moment (μB per formula unit) |
| --- | --- | --- |
| 1 | -4.355 | 0.00 |
| 2 | -8.541 | 0.00 |
| 3 | -4.481 | 0.00 |
| 4 | -6.033 | 0.00 |
| 5 | -7.393 | 0.00 |
| 6 | -6.904 | 0.00 |
| 7 | -5.900 | 2.10 |
| 8 | -2.706 | 0.00 |
| 9 | -5.085 | 0.00 |
| 10 | -5.105 | 1.08 |
| 11 | -4.315 | 1.19 |
| 12 | -5.957 | 0.00 |
| 13 | -10.877 | 1.81 |
| 14 | -4.459 | 0.44 |
| 15 | -3.098 | 0.00 |
| 16 | -7.052 | 3.98 |
| 17 | -4.777 | 0.00 |
| 18 | -3.730 | 1.00 |
| 19 | -6.636 | 0.00 |
| 20 | -3.115 | 0.00 |